1.
## Sc2CO (PBE)

Data for a relaxed Sc2CO crystal.

Properties
The crystal system is monoclinic. Its space-group type is No. 15. Its size of the total moment is 0.0 μB per formula unit. For the energy above the lowest structure with this stoichiometry, the calculation gives 0.00 eV/f.u.

Cell: 5.641 5.628 7.237 Å, 104.89 104.96 109.77°
Fractional coordinates of all 16 atoms:
C 0.189 0.939 0.878
Sc 0.697 0.938 0.375
C 0.936 0.686 0.372
O 0.439 0.189 0.378
O 0.686 0.436 0.872
Sc 0.823 0.563 0.625
Sc 0.433 0.692 0.875
Sc 0.057 0.817 0.125
O 0.314 0.564 0.128
Sc 0.177 0.437 0.375
Sc 0.943 0.183 0.875
O 0.561 0.811 0.622
C 0.064 0.314 0.628
C 0.811 0.061 0.122
Sc 0.567 0.308 0.125
Sc 0.303 0.062 0.625

2.
## MnP2W (PBE)

Data for a relaxed MnP2W crystal.

Properties
The crystal system is monoclinic. For the energy relative to the elements, the calculation gives -0.230 eV/atom. Its space-group type is No. 8. Its size of the total moment is 0.9 μB per formula unit.

Cell: 4.404 4.404 4.259 Å, 75.23 75.23 40.26°
Last column: magnetic moment on the atom in μB.
Fractional coordinates of all 4 atoms:
P 0.994 0.994 0.060  -0.03
P 0.751 0.751 0.718  -0.03
Mn 0.262 0.262 0.162  1.04
W 0.493 0.493 0.560  -0.04

3.
## RbLi3Pa4O12 (PBE)

Data for a relaxed RbLi3Pa4O12 crystal.

Properties
The crystal system is cubic. Its space-group type is No. 204. Its size of the total moment is 0.0 μB per formula unit.

Cell: 7.181 7.181 7.181 Å, 109.47 109.47 109.47°
Fractional coordinates of all 20 atoms:
O 0.490 0.307 0.183
O 0.183 0.877 0.693
O 0.877 0.693 0.183
O 0.510 0.693 0.817
Rb 0.000 0.000 0.000
Li 0.500 0.500 0.000
Li 0.500 0.000 0.500
Pa 0.500 0.000 0.000
O 0.307 0.183 0.490
O 0.693 0.817 0.510
Pa 0.000 0.500 0.000
O 0.123 0.307 0.817
O 0.817 0.123 0.307
O 0.307 0.817 0.123
O 0.817 0.510 0.693
Li 0.000 0.500 0.500
Pa 0.500 0.500 0.500
Pa 0.000 0.000 0.500
O 0.183 0.490 0.307
O 0.693 0.183 0.877

no.,total energy (eV/atom)
1,-8.617
2,-8.466
3,-8.312